This record from Alexandria via LeMat-Bulk describes a geometry-optimized GeSbAu4 structure. The functional is PBE.

The structure in POSCAR format:
```
GeSbAu4
1.0
-2.3872 6.7179 0.5713
-0.4062 -0.6350 5.7708
5.8713 2.0322 0.6369
Sb Au Ge
2 8 2
Direct
0.9222 0.0000 0.8978
0.4222 0.5000 0.1022
0.1198 0.7442 0.2908
0.6198 0.2442 0.7092
0.7781 0.0000 0.3098
0.7660 0.5000 0.3081
0.2660 0.0000 0.6919
0.6198 0.7558 0.7092
0.1198 0.2558 0.2908
0.2781 0.5000 0.6902
0.9221 0.5000 0.6925
0.4221 0.0000 0.3075
```

Results
Offset from the most stable computed form in meV per atom: 0.0
Electronic total energy in eV/atom: -3.57
Formation energy without anion corrections in eV per atom: 0.070
D(E_F) in states/eV/cell: 2.848

This record from Alexandria via LeMat-Bulk describes a geometry-optimized BaNaAs structure. The functional is PBE.

The structure in POSCAR format:
```
BaNaAs
1.0
4.5234 0.0000 0.0000
0.0000 4.5234 0.0000
-2.2617 -2.2617 4.6397
Na As Ba
1 1 1
Direct
0.2853 0.2853 0.5706
0.6042 0.6042 0.2085
0.9605 0.9605 0.9209
```

Results
Energy of formation from the pure elements in eV per atom: -0.576
Electronic total energy in eV/atom: -3.21
D(E_F) in states/eV/cell: 0.218

This record from Alexandria via LeMat-Bulk describes a geometry-optimized Tm3Ge5Se12 structure. The functional is PBE.

The structure in POSCAR format:
```
Tm3Ge5Se12
1.0
-13.5215 -1.1228 2.9393
5.2645 -12.6090 -2.4553
6.6124 5.7602 10.7623
Se Ge Tm
48 20 12
Direct
0.3223 0.7808 0.4133
0.4585 0.7808 0.8674
0.5867 0.7192 0.6777
0.9585 0.5910 0.1777
0.5415 0.3223 0.9090
0.8223 0.9133 0.2808
0.7808 0.4585 0.3674
0.3223 0.5415 0.4090
0.0415 0.4090 0.8223
0.0910 0.1777 0.4585
0.8674 0.2808 0.4585
0.3674 0.9585 0.7808
0.1326 0.7192 0.5415
0.5910 0.6326 0.4133
0.5415 0.2192 0.1326
0.4585 0.6777 0.0910
0.2192 0.5415 0.6326
0.4133 0.2808 0.3223
0.3674 0.4090 0.0867
0.0910 0.9133 0.1326
0.2192 0.6777 0.0867
0.6777 0.4585 0.5910
0.9133 0.8223 0.7808
0.0867 0.1777 0.2192
0.0867 0.9090 0.3674
0.6326 0.0415 0.2192
0.5867 0.8674 0.4090
0.1777 0.0910 0.9585
0.9585 0.3674 0.2808
0.2808 0.4133 0.8223
0.7192 0.5867 0.1777
0.4090 0.0415 0.3223
0.1777 0.0867 0.7192
0.6777 0.2192 0.5867
0.2808 0.8674 0.9585
0.9090 0.8223 0.5415
0.5910 0.9585 0.6777
0.9133 0.0910 0.6326
0.1326 0.4133 0.0910
0.0415 0.6326 0.7192
0.8674 0.5867 0.9090
0.7808 0.3223 0.9133
0.8223 0.9090 0.0415
0.7192 0.1326 0.0415
0.9090 0.0867 0.8674
0.4133 0.1326 0.5910
0.4090 0.3674 0.5867
0.6326 0.5910 0.9133
0.0000 0.0000 0.5000
0.5000 0.0000 0.5000
0.6250 0.8750 0.2500
0.0000 0.5000 0.0000
0.8750 0.6250 0.7500
0.1250 0.3750 0.2500
0.2500 0.8750 0.1250
0.5000 0.0000 0.0000
0.0000 0.0000 0.0000
0.7500 0.6250 0.3750
0.8750 0.2500 0.6250
0.1250 0.7500 0.3750
0.5000 0.5000 0.0000
0.2500 0.3750 0.6250
0.7500 0.1250 0.8750
0.3750 0.1250 0.7500
0.3750 0.2500 0.1250
0.0000 0.5000 0.5000
0.5000 0.5000 0.5000
0.6250 0.7500 0.8750
0.1250 0.8750 0.7500
0.3750 0.7500 0.6250
0.8750 0.7500 0.1250
0.1250 0.2500 0.8750
0.6250 0.3750 0.7500
0.6250 0.2500 0.3750
0.7500 0.3750 0.1250
0.8750 0.1250 0.2500
0.2500 0.1250 0.3750
0.2500 0.6250 0.8750
0.3750 0.6250 0.2500
0.7500 0.8750 0.6250
```

Results
Electronic total energy in eV/atom: -4.67
Formation energy without anion corrections in eV per atom: -0.753
D(E_F) in states/eV/cell: 10.335

This record from Alexandria via LeMat-Bulk describes a geometry-optimized La3YTa structure. The functional is PBE.

The structure in POSCAR format:
```
La3YTa
1.0
-4.1243 3.0692 2.4757
1.0685 -2.5785 4.9767
3.7957 4.0607 1.2890
Y La Ta
1 3 1
Direct
0.5000 0.5000 0.5000
0.0000 0.0000 0.5000
0.0000 0.5000 0.0000
0.5000 0.0000 0.0000
0.0000 0.0000 0.0000
```

Results
Offset from the most stable computed form in meV per atom: 0.0
Energy of formation from the pure elements in eV per atom: 0.540
Electronic total energy in eV/atom: -6.08
D(E_F) in states/eV/cell: 7.478

This record from Alexandria via LeMat-Bulk describes a geometry-optimized PrZn2Ru structure. The functional is PBE.

The structure in POSCAR format:
```
PrZn2Ru
1.0
5.7085 0.0000 0.0000
0.0000 7.0293 0.0000
0.0000 0.0000 15.5638
Zn Pr Ru
16 8 8
Direct
0.9012 0.0558 0.2018
0.7278 0.5606 0.0457
0.4012 0.5558 0.2982
0.9012 0.4442 0.2018
0.5988 0.4442 0.7018
0.7722 0.5606 0.5457
0.2722 0.0606 0.9543
0.7722 0.9394 0.5457
0.0988 0.5558 0.7982
0.7278 0.9394 0.0457
0.2722 0.4394 0.9543
0.4012 0.9442 0.2982
0.5988 0.0558 0.7018
0.2278 0.0606 0.4543
0.0988 0.9442 0.7982
0.2278 0.4394 0.4543
0.2139 0.7500 0.1020
0.0776 0.2500 0.6495
0.4224 0.2500 0.1495
0.7861 0.2500 0.8980
0.5776 0.7500 0.8505
0.9224 0.7500 0.3505
0.2861 0.7500 0.6020
0.7139 0.2500 0.3980
0.5006 0.7500 0.4389
0.4994 0.2500 0.5611
0.8578 0.7500 0.6895
0.6422 0.7500 0.1895
0.9994 0.7500 0.9389
0.3578 0.2500 0.8105
0.0006 0.2500 0.0611
0.1422 0.2500 0.3105
```

Results
Energy of formation from the pure elements in eV per atom: -0.255
Electronic total energy in eV/atom: -4.41
D(E_F) in states/eV/cell: 20.612

This record from Alexandria via LeMat-Bulk describes a geometry-optimized Ca2GaB2O6 structure. The functional is PBE.

The structure in POSCAR format:
```
Ca2GaB2O6
1.0
5.2628 0.0000 0.0000
-2.6314 4.5577 0.0000
0.0000 0.0000 5.8959
Ca O B Ga
2 6 2 1
Direct
0.3333 0.6667 0.3076
0.6667 0.3333 0.6924
0.1106 0.3750 0.7695
0.8894 0.6250 0.2305
0.2644 0.8894 0.7695
0.3750 0.2644 0.2305
0.6250 0.7356 0.7695
0.7356 0.1106 0.2305
0.3333 0.6667 0.7779
0.6667 0.3333 0.2221
0.0000 0.0000 0.0000
```

Results
Electronic total energy in eV/atom: -6.84
Formation energy without anion corrections in eV per atom: -2.280
D(E_F) in states/eV/cell: 2.370

This record from Alexandria via LeMat-Bulk describes a geometry-optimized Co2TePd structure. The functional is PBE.

The structure in POSCAR format:
```
Co2TePd
1.0
-0.5374 -0.8463 3.7109
-2.2687 -2.9379 -0.9985
5.8938 -7.4547 1.1442
Co Pd Te
4 2 2
Direct
0.8750 0.8129 0.7500
0.5629 0.1250 0.2500
0.1871 0.6250 0.2500
0.3750 0.4371 0.7500
0.2500 0.7500 0.5000
0.5000 0.5000 0.0000
0.7500 0.2500 0.5000
0.0000 0.0000 0.0000
```

Results
Electronic total energy in eV/atom: -5.25
Formation energy without anion corrections in eV per atom: 0.389
D(E_F) in states/eV/cell: 8.232

This record from Alexandria via LeMat-Bulk describes a geometry-optimized MgVRu2 structure. The functional is PBE.

The structure in POSCAR format:
```
MgVRu2
1.0
6.8447 0.0000 0.0000
0.0000 6.8447 0.0000
3.4223 3.4223 2.7562
Ru V Mg
4 2 2
Direct
0.6709 0.1250 0.2500
0.8750 0.9209 0.7500
0.3750 0.3291 0.7500
0.0791 0.6250 0.2500
0.7500 0.2500 0.5000
0.0000 0.0000 0.0000
0.5000 0.5000 0.0000
0.2500 0.7500 0.5000
```

Results
Energy of formation from the pure elements in eV per atom: 0.302
Electronic total energy in eV/atom: -7.01
D(E_F) in states/eV/cell: 8.430

This record from Alexandria via LeMat-Bulk describes a geometry-optimized Ba3Ni structure. The functional is PBE.

The structure in POSCAR format:
```
Ba3Ni
1.0
4.1530 0.0000 0.0000
0.0000 7.4174 0.0000
-2.0765 -3.7087 6.0905
Ba Ni
3 1
Direct
0.6690 0.0510 0.3381
0.3310 0.7129 0.6619
0.5000 0.3594 0.0000
0.0000 0.0433 0.0000
```

Results
Energy of formation from the pure elements in eV per atom: 0.096
Electronic total energy in eV/atom: -2.79
D(E_F) in states/eV/cell: 4.237

This record from Alexandria via LeMat-Bulk describes a geometry-optimized Er5Ga2C structure. The functional is PBE.

The structure in POSCAR format:
```
Er5Ga2C
1.0
-2.1907 4.5000 0.1789
-5.7546 -5.5669 -0.5387
-0.4293 -0.6641 11.4481
Er Ga C
10 4 2
Direct
0.0814 0.1628 0.1031
0.6964 0.3929 0.9099
0.3036 0.6071 0.0901
0.9186 0.8372 0.6031
0.6964 0.3929 0.5901
0.7010 0.4019 0.2500
0.9186 0.8372 0.8969
0.3036 0.6071 0.4099
0.2990 0.5981 0.7500
0.0814 0.1628 0.3969
0.1101 0.2202 0.8575
0.8899 0.7798 0.3575
0.1101 0.2202 0.6425
0.8899 0.7798 0.1425
0.8098 0.6196 0.7500
0.1902 0.3804 0.2500
```

Results
Energy of formation from the pure elements in eV per atom: -0.091
Electronic total energy in eV/atom: -4.85
D(E_F) in states/eV/cell: 15.179

This record from Alexandria via LeMat-Bulk describes a geometry-optimized TlSiAg2W structure. The functional is PBE.

The structure in POSCAR format:
```
TlSiAg2W
1.0
5.2548 0.0000 0.0000
0.0000 4.7482 0.0000
0.0000 0.0000 5.2548
Ag Tl Si W
2 1 1 1
Direct
0.5000 0.0000 0.0000
0.0000 0.0000 0.5000
0.5000 0.5000 0.5000
0.0000 0.5000 0.0000
0.0000 0.0000 0.0000
```

Results
Electronic total energy in eV/atom: -4.21
Formation energy without anion corrections in eV per atom: 1.078
D(E_F) in states/eV/cell: 4.192

This record from Alexandria via LeMat-Bulk describes a geometry-optimized Ce2TmTh4 structure. The functional is PBE.

The structure in POSCAR format:
```
Ce2TmTh4
1.0
-0.9519 3.3840 -0.0864
-2.2262 1.2624 2.4115
14.3441 6.1828 12.5691
Th Ce Tm
4 2 1
Direct
0.7150 0.7150 0.8550
0.8575 0.8575 0.4275
0.2850 0.2850 0.1450
0.1425 0.1425 0.5725
0.4284 0.4284 0.7149
0.5716 0.5716 0.2851
0.0000 0.0000 0.0000
```

Results
Offset from the most stable computed form in meV per atom: 0.0
Energy of formation from the pure elements in eV per atom: 0.018
Electronic total energy in eV/atom: -6.56
D(E_F) in states/eV/cell: 12.742

This record from Alexandria via LeMat-Bulk describes a geometry-optimized BaSn2MoAu structure. The functional is PBE.

The structure in POSCAR format:
```
BaSn2MoAu
1.0
6.1058 0.0000 0.0000
0.0000 5.2954 0.0000
0.0000 0.0000 6.1058
Mo Ba Au Sn
1 1 1 2
Direct
0.0000 0.5000 0.0000
0.0000 0.0000 0.0000
0.5000 0.5000 0.5000
0.0000 0.0000 0.5000
0.5000 0.0000 0.0000
```

Results
Energy of formation from the pure elements in eV per atom: 1.940
Electronic total energy in eV/atom: -2.87
D(E_F) in states/eV/cell: 5.668

This record from Alexandria via LeMat-Bulk describes a geometry-optimized Zn3C structure. The functional is PBE.

The structure in POSCAR format:
```
Zn3C
1.0
4.0803 0.0000 0.0000
0.0000 4.0803 0.0000
0.0000 0.0000 4.0803
Zn C
3 1
Direct
0.0000 0.5000 0.0000
0.0000 0.0000 0.5000
0.5000 0.0000 0.0000
0.0000 0.0000 0.0000
```

Results
Energy of formation from the pure elements in eV per atom: 0.816
Electronic total energy in eV/atom: -2.45
D(E_F) in states/eV/cell: 0.844

This record from Alexandria via LeMat-Bulk describes a geometry-optimized Cs3BePt structure. The functional is PBE.

The structure in POSCAR format:
```
Cs3BePt
1.0
-4.1722 -0.5348 5.1736
-2.2482 -5.7954 -2.4121
4.6901 -3.2537 3.4460
Pt Cs Be
1 3 1
Direct
0.0000 0.0000 0.0000
0.5000 0.0000 0.0000
0.0000 0.0000 0.5000
0.0000 0.5000 0.0000
0.5000 0.5000 0.5000
```

Results
Offset from the most stable computed form in meV per atom: 0.0
Energy of formation from the pure elements in eV per atom: 0.596
Electronic total energy in eV/atom: -1.87
D(E_F) in states/eV/cell: 4.523

This record from Alexandria via LeMat-Bulk describes a geometry-optimized PmTm2 structure. The functional is PBE.

The structure in POSCAR format:
```
PmTm2
1.0
3.5412 0.0000 0.0000
0.0000 3.5412 0.0000
-1.7706 -1.7706 7.5267
Tm Pm
2 1
Direct
0.6686 0.6686 0.3372
0.3314 0.3314 0.6628
0.0000 0.0000 0.0000
```

Results
Offset from the most stable computed form in meV per atom: 4.4
Energy of formation from the pure elements in eV per atom: 0.026
Electronic total energy in eV/atom: -4.54
D(E_F) in states/eV/cell: 4.303

This record from Alexandria via LeMat-Bulk describes a geometry-optimized Ce2Pt3Rh3 structure. The functional is PBE.

The structure in POSCAR format:
```
Ce2Pt3Rh3
1.0
-2.9948 2.6712 0.3985
-1.9177 -2.5380 2.6004
4.0349 3.5613 6.4513
Pt Ce Rh
3 2 3
Direct
0.0000 0.5000 0.5000
0.0000 0.5000 0.0000
0.5000 0.0000 0.5000
0.0000 0.0000 0.7547
0.0000 0.0000 0.2453
0.5000 0.0000 0.0000
0.5000 0.5000 0.7506
0.5000 0.5000 0.2494
```

Results
Energy of formation from the pure elements in eV per atom: -0.838
Electronic total energy in eV/atom: -7.34
D(E_F) in states/eV/cell: 10.059

This record from Alexandria via LeMat-Bulk describes a geometry-optimized Mn2Au structure. The functional is PBE.

The structure in POSCAR format:
```
Mn2Au
1.0
0.0000 3.4612 3.4612
3.4612 0.0000 3.4612
3.4612 3.4612 0.0000
Mn Au
4 2
Direct
0.1250 0.1250 0.1250
0.6250 0.1250 0.1250
0.1250 0.6250 0.1250
0.1250 0.1250 0.6250
0.5000 0.5000 0.5000
0.7500 0.7500 0.7500
```

Results
Energy of formation from the pure elements in eV per atom: 0.315
Electronic total energy in eV/atom: -6.89
D(E_F) in states/eV/cell: 10.310

This record from Alexandria via LeMat-Bulk describes a geometry-optimized CaFeOs structure. The functional is PBE.

The structure in POSCAR format:
```
CaFeOs
1.0
2.8869 0.0000 0.0000
-1.4434 2.5001 0.0000
0.0000 0.0000 6.9882
Fe Ca Os
1 1 1
Direct
0.3333 0.6667 0.3641
0.0000 0.0000 0.0001
0.6667 0.3333 0.6359
```

Results
Offset from the most stable computed form in meV per atom: 593.7
Energy of formation from the pure elements in eV per atom: 0.731
Electronic total energy in eV/atom: -6.50
D(E_F) in states/eV/cell: 3.125

This record from Alexandria via LeMat-Bulk describes a geometry-optimized LiWCl4 structure. The functional is PBE.

The structure in POSCAR format:
```
LiWCl4
1.0
-1.1867 0.2553 -3.0835
-2.5315 -6.0287 2.3627
-4.8743 3.8230 2.1882
Cl Li W
4 1 1
Direct
0.8963 0.8026 0.6644
0.1038 0.1973 0.3353
0.6215 0.2290 0.8748
0.3782 0.7708 0.1250
0.5003 0.0004 0.5003
0.9999 0.9998 0.0000
```

Results
Offset from the most stable computed form in meV per atom: 0.0
Electronic total energy in eV/atom: -4.68
Formation energy without anion corrections in eV per atom: -0.966
D(E_F) in states/eV/cell: 2.350